Entry 1:
Material: Li2Ho3Sn4
Method: DFT, GGA-PBE
State: relaxed

```
Li2Ho3Sn4
1.0
5.7168 -2.2742 0.0000
5.7168 2.2742 0.0000
-2.9674 0.0000 8.2734
Li Ho Sn
2 3 4
Cartesian
1.0385 0.0000 3.0170
7.4276 0.0000 5.2564
-0.5237 0.0000 5.6880
5.7168 0.0000 0.0000
8.9899 0.0000 2.5855
2.1071 0.0000 0.6017
3.0373 0.0000 5.0590
5.4289 0.0000 3.2144
6.3590 0.0000 7.6717
```

Output
The calculated formation energy is -0.587 eV per atom.

Entry 2:
Material: AcPmPr2Nd2
Method: DFT, GGA-PBE
State: relaxed

```
AcPmPr2Nd2
1.0
7.3467 0.0000 0.0000
0.0000 5.8990 0.0000
0.0000 0.0000 10.1703
Ac Pm Pr Nd
2 2 4 4
Cartesian
0.0000 0.0000 0.0000
3.6734 0.0000 0.0000
1.8367 2.9495 1.7161
5.5100 2.9495 8.4542
0.0000 2.9495 5.0851
1.8367 0.0000 6.7596
3.6734 2.9495 5.0851
5.5100 0.0000 3.4107
1.8367 0.0000 3.4100
1.8367 2.9495 8.4396
5.5100 0.0000 6.7602
5.5100 2.9495 1.7307
```

Output
The calculated formation energy is 0.047 eV per atom.

Entry 3:
Material: SmDy2ThSb4
Method: DFT, GGA-PBE
State: relaxed

```
SmDy2ThSb4
1.0
7.6698 0.0000 0.0000
0.0000 4.4458 0.0000
-2.5657 0.0000 7.2463
Sm Dy Th Sb
1 2 1 4
Cartesian
0.0000 0.0000 0.0000
2.5521 0.0000 3.6232
3.8349 2.2229 0.0000
-1.2828 2.2229 3.6232
1.3210 2.2229 1.8217
0.0423 0.0000 5.4616
5.0618 0.0000 1.7847
3.7831 2.2229 5.4246
```

Output
The formation energy (no corrections) comes out at -8.8 eV per formula unit.

Entry 4:
Material: LiNp2Te3
Method: DFT, GGA-PBE
State: relaxed

```
LiNp2Te3
1.0
-2.1733 3.1013 6.5841
2.1733 -3.1013 6.5841
2.1733 3.1013 -6.5841
Li Np Te
1 2 3
Cartesian
0.0000 0.0000 0.0000
0.0000 0.0000 4.3720
0.0000 0.0000 8.7962
2.1733 0.0000 2.1306
0.0000 3.1013 0.0000
0.0000 3.1013 4.4535
```

Output
The formation energy (no corrections) comes out at -4.4 eV per formula unit.

Total DFT energy (no corrections), record by record: -38.85, -55.34, -46.65, -41.58 eV per cell
Spin magnetization, record by record: 0.000, 0.000, 0.000, 8.971 μB per formula unit